{"formula": "LiLaBr2", "functional": "SCAN", "state": "single point on PBEsol structure", "cell": [[4.078, 0.000, 0.030], [0.000, 4.207, 0.000], [-0.045, -2.104, 5.756]], "species": ["La", "Br", "Br", "Li"], "frac_coords": [[0.625, 0.531, 0.061], [0.624, 0.240, 0.480], [0.125, 0.973, 0.946], [0.126, 0.757, 0.513]], "final_energy_ev_per_atom": -22.482, "vol_a3_per_atom": 24.7, "formation_energy_uncorrected_ev_per_atom": -1.3789, "space_group": "Amm2 (38)"}